Entry 1:
Here is an optimized crystal structure of RbFeOF2 from Alexandria. Energies are from PBE+U.

```
RbFeOF2
1.0
4.317 0.000 0.000
0.000 4.317 0.000
0.000 0.000 3.806
Rb O F Fe
1 1 2 1
Direct
0.500 0.500 0.500
0.000 0.000 0.500
0.000 0.500 0.000
0.500 0.000 0.000
0.000 0.000 0.000
```

Properties
- Total DFT energy (no corrections): -26.02 eV per cell
- Crystal system: tetragonal

***

Entry 2:
Here is an optimized crystal structure of FeReO2F from Alexandria. Energies are from PBE+U.

```
FeReO2F
1.0
3.818 0.000 0.000
0.000 3.818 0.000
0.000 0.000 4.482
Fe Re F O
1 1 1 2
Direct
0.500 0.500 0.500
0.000 0.000 0.000
0.000 0.000 0.500
0.000 0.500 0.000
0.500 0.000 0.000
```

Properties
- Fermi-level density of states: 3.0 states/eV per cell
- Total DFT energy (no corrections): -33.78 eV per cell
- Crystal system: tetragonal

***

Q: Which value of total DFT energy (no corrections) does entry 1 give?
A: -26.02 eV per cell

***

Q: The lowest total DFT energy (no corrections) belongs to which entry?
A: FeReO2F